Version one
Dy2Cd3Au2 | PBE | relaxed

a b c (Å): 10.4494 4.1683 7.5454
angles (deg): 90.00 94.44 90.00
With the nearest neighbours (Å) after each atom.
Space group C2/m (No. 12)
Symmetry-distinct sites (fractional):
Dy (0.1200, 0.0000, 0.3422) [4 per cell]  5 Au 2.92-3.12
Cd (0.0000, 0.5000, 0.0000) [2 per cell]  2 Au 3.02, 6 Cd 3.09-3.28
Cd (0.1918, 0.0000, 0.8758) [4 per cell]  2 Au 2.88, 4 Cd 3.00-3.09
Au (0.1000, 0.5000, 0.6354) [4 per cell]  1 Au 2.81, 3 Cd 2.88-3.02, 5 Dy 2.92-3.12

Volume ... 327.7 Å³ per cell

Version two
Dy2Cd3Au2 | PBE | relaxed

a b c (Å): 9.9219 4.6259 7.3956
angles (deg): 90.00 108.59 90.00
With the nearest neighbours (Å) after each atom.
Space group C2/m (No. 12)
Symmetry-distinct sites (fractional):
Dy (0.1352, 0.0000, 0.2840) [4 per cell]  4 Au 2.99-3.07, 3 Cd 3.30-3.33
Cd (0.0000, 0.5000, 0.5000) [2 per cell]  4 Au 2.97, 2 Cd 3.03
Cd (0.1202, 0.5000, 0.9315) [4 per cell]  3 Au 2.85-3.01, 2 Cd 2.87-3.03
Au (0.1704, 0.0000, 0.7002) [4 per cell]  5 Cd 2.85-3.01, 4 Dy 2.99-3.07

Volume ... 321.7 Å³ per cell

Which of them is the most stable? Correct choice: version two.

Version one
DyCd2Au2 | PBE | relaxed

a b c (Å): 4.8656 4.8302 10.0379
angles (deg): 90.00 92.90 90.00
With the nearest neighbours (Å) after each atom.
Space group P2_1/m (No. 11)
Symmetry-distinct sites (fractional):
Dy (0.2320, 0.2500, 0.3243) [2 per cell]  6 Au 2.93-3.06
Cd (0.2589, 0.2500, 0.6790) [2 per cell]  6 Au 2.91-3.12, 1 Cd 3.14
Cd (0.2775, 0.2500, 0.9917) [2 per cell]  4 Au 2.83-2.94, 1 Cd 3.14
Au (0.2324, 0.7500, 0.1560) [2 per cell]  6 Cd 2.83-2.98, 2 Dy 2.95
Au (0.2524, 0.7500, 0.5110) [2 per cell]  4 Dy 2.93-3.06, 4 Cd 2.94-3.12

Volume ... 235.6 Å³ per cell

Version two
DyCd2Au2 | PBE | relaxed

a b c (Å): 4.8750 3.4618 13.0559
angles (deg): 90.00 90.58 90.00
With the nearest neighbours (Å) after each atom.
Space group P2_1/m (No. 11)
Symmetry-distinct sites (fractional):
Dy (0.2436, 0.2500, 0.2513) [2 per cell]  6 Au 3.17-3.24, 6 Cd 3.34-3.35, 2 Dy 3.46
Cd (0.2494, 0.7500, 0.4708) [2 per cell]  4 Au 2.93-2.95, 4 Cd 3.08-3.09
Cd (0.2610, 0.2500, 0.8638) [2 per cell]  5 Au 2.69-2.96
Au (0.2380, 0.7500, 0.0475) [2 per cell]  4 Cd 2.69-2.96
Au (0.2536, 0.2500, 0.6534) [2 per cell]  5 Cd 2.75-2.95

Volume ... 220.3 Å³ per cell

Which of them is the most stable? Correct choice: version one.